Entry 1:
VASP calculation (PBE) on a geometry-optimized NaSrAgGe structure.

Unit cell a=5.1027 b=5.1027 c=5.1027 alpha=60.00 beta=60.00 gamma=60.00
Sites, in units of the cell vectors:
Na 0.5000 0.5000 0.5000
Sr 0.7500 0.7500 0.7500
Ag 0.2500 0.2500 0.2500
Ge 0.0000 0.0000 0.0000

- symmetry = F-43m
- E_form (meV per atom) = -202.3

***

Entry 2:
VASP calculation (PBE) on a geometry-optimized Sr2ZrTcI structure.

Unit cell a=5.9809 b=5.0192 c=5.9809 alpha=90.00 beta=90.00 gamma=90.00
Last column: magnetic moment on the atom in μB.
Sites, in units of the cell vectors:
I 0.0000 0.5000 0.0000  -0.01
Tc 0.0000 0.0000 0.0000  -0.59
Sr 0.5000 0.0000 0.0000  0.05
Sr 0.0000 0.0000 0.5000  0.06
Zr 0.5000 0.5000 0.5000  1.50

- symmetry = P4/mmm
- ΔE_f (raw) (kJ per mole of atoms) = 90.0